Entry from the Alexandria database: a relaxed structure of Er5BiC (PBE).

```
Er5BiC
1.0
5.8406 -4.0679 0.0000
5.8406 4.0679 0.0000
-3.6299 0.0000 8.5130
Er Bi C
10 2 2
Direct
0.0611 0.9389 0.7500
0.0970 0.3172 0.6399
0.1800 0.6423 0.0288
0.3172 0.0970 0.1399
0.3577 0.8200 0.4712
0.6423 0.1800 0.5288
0.6828 0.9030 0.8601
0.8200 0.3577 0.9712
0.9030 0.6828 0.3601
0.9389 0.0611 0.2500
0.4260 0.5740 0.7500
0.5740 0.4260 0.2500
0.0000 0.0000 0.0000
0.0000 0.0000 0.5000
```

Computed properties:
symmetry: C2/c
ΔE_f: -0.172 eV/atom
spin magnetization: 0.0000 μB per atom
calculated volume: 28.89 Å³/atom